Model a:
## Sr4CaSm2Ta2O12 (PBE-GGA)

Data for an optimized crystal structure of Sr4CaSm2Ta2O12.

Properties
Calculated volume (Å³ per cell): 343.8
Space-group type: No. 1

abc: 6.031 6.035 9.735
angles: 79.76 80.51 86.62
Positions (direct):
Sr: 0.000 0.000 0.000
Sr: 0.020 0.140 0.551
Sr: 0.487 0.335 0.407
Sr: 0.524 0.494 0.997
Ca: 0.653 0.668 0.592
Sm: 0.089 0.562 0.775
Sm: 0.449 0.931 0.211
Ta: 0.550 0.067 0.771
Ta: 0.971 0.453 0.206
O: 0.072 0.409 0.999
O: 0.199 0.219 0.276
O: 0.204 0.690 0.162
O: 0.299 0.260 0.703
O: 0.381 0.779 0.797
O: 0.467 0.083 0.975
O: 0.647 0.041 0.566
O: 0.732 0.220 0.198
O: 0.740 0.693 0.143
O: 0.759 0.340 0.751
O: 0.834 0.858 0.794
O: 0.850 0.476 0.403

=====

Model b:
## Sr4CaSm2Ta2O12 (PBE-GGA)

Data for an optimized crystal structure of Sr4CaSm2Ta2O12.

Properties
Calculated volume (Å³ per cell): 328.9
Space-group type: No. 1
DOS(E_F) (states/eV/cell): 2.585

abc: 6.352 6.363 8.221
angles: 85.50 85.49 84.51
Positions (direct):
Sr: 0.000 0.000 0.000
Sr: 0.044 0.929 0.495
Sr: 0.475 0.240 0.911
Sr: 0.648 0.356 0.483
Ca: 0.749 0.530 0.069
Sm: 0.187 0.464 0.232
Sm: 0.526 0.801 0.739
Ta: 0.065 0.387 0.715
Ta: 0.578 0.924 0.250
O: 0.051 0.332 0.479
O: 0.086 0.388 0.966
O: 0.249 0.073 0.741
O: 0.303 0.082 0.228
O: 0.346 0.522 0.676
O: 0.466 0.637 0.289
O: 0.622 0.877 0.004
O: 0.631 0.958 0.480
O: 0.727 0.193 0.193
O: 0.817 0.211 0.757
O: 0.880 0.650 0.704
O: 0.911 0.731 0.239

=====

The most stable structure shown above is model a; the least stable is model b.